[1]
A plane-wave DFT calculation with PBE+U was carried out for an optimized crystal structure of ScCdCoF6.

DOS(E_F) ... 0.278 states/eV per atom
Calculated total energy ... -5.296 eV/atom

a b c (Å): 5.3577 5.3577 10.2124
angles (deg): 90.00 90.00 120.00
Space group P-31c (No. 163)
Unique sites:
Sc 0.3333 0.6667 0.2500 [2 per cell]
Cd 0.0000 0.0000 0.0000 [2 per cell]
Co 0.3333 0.6667 0.7500 [2 per cell]
F 0.0215 0.3514 0.1337 [12 per cell]

[2]
A plane-wave DFT calculation with PBE+U was carried out for an optimized crystal structure of TaCdCo2F.

DOS(E_F) ... 0.442 states/eV per atom
Calculated total energy ... -4.708 eV/atom

a b c (Å): 4.272 4.272 4.203
angles (deg): 90.00 90.00 90.00
Space group P4/mmm (No. 123)
Unique sites:
Ta 0.000 0.000 0.000 [1 per cell]
Cd 0.500 0.500 0.000 [1 per cell]
Co 0.000 0.500 0.500 [2 per cell]
F 0.000 0.000 0.500 [1 per cell]

[3]
A plane-wave DFT calculation with PBE+U was carried out for an optimized crystal structure of CdCo2TeF.

DOS(E_F) ... 0.311 states/eV per atom
Calculated total energy ... -2.963 eV/atom

a b c (Å): 4.833 4.833 4.549
angles (deg): 90.00 90.00 90.00
Space group P4/mmm (No. 123)
Unique sites:
Cd 0.000 0.000 0.000 [1 per cell]
Co 0.000 0.500 0.500 [2 per cell]
Te 0.500 0.500 0.500 [1 per cell]
F 0.500 0.500 0.000 [1 per cell]

[4]
A plane-wave DFT calculation with PBE+U was carried out for an optimized crystal structure of Tl2CdCoF6.

DOS(E_F) ... 0.000 states/eV per atom
Calculated total energy ... -4.222 eV/atom

a b c (Å): 6.127 6.145 8.661
angles (deg): 90.00 90.00 90.00
Space group Immm (No. 71)
Unique sites:
Tl 0.000 0.000 0.247 [4 per cell]
Cd 0.000 0.500 0.000 [2 per cell]
Co 0.000 0.500 0.500 [2 per cell]
F 0.000 0.500 0.262 [4 per cell]
F 0.242 0.263 0.500 [8 per cell]